Model A:
First-principles (PBE) data for a relaxed structure of Tb2Pr4Y5, as listed in Alexandria via LeMat-Bulk.

The space group is C2/m (No. 12) and the conventional cell measures 19.673, 5.891 and 6.423 Å, with angles of 90.00, 94.12 and 90.00 degrees. The asymmetric unit holds Tb at (0.097, 0.000, 0.044), Pr at (0.033, 0.500, 0.769), Pr at (0.191, 0.000, 0.568), Y at (0.000, 0.000, 0.500), Y at (0.133, 0.500, 0.355) and Y at (0.215, 0.500, 0.893).



Model B:
First-principles (PBE) data for a relaxed structure of Tb2Pr4Y5, as listed in Alexandria via LeMat-Bulk.

The space group is C2/m (No. 12) and the conventional cell measures 24.164, 3.545 and 9.018 Å, with angles of 90.00, 99.27 and 90.00 degrees. The asymmetric unit holds Tb at (0.102, 0.000, 0.198), Pr at (0.027, 0.000, 0.690), Pr at (0.130, 0.500, 0.537), Y at (0.000, 0.500, 0.000), Y at (0.179, 0.000, 0.904) and Y at (0.232, 0.000, 0.324).



Relative energies with respect to the most stable structure, expressed in eV/atom: model A 0.000; model B 0.112.